# 1
8
Lattice="7.6805 0.0000 0.0000 0.0000 7.6805 0.0000 3.8402 3.8402 4.1558" Properties=species:S:1:pos:R:3 comment="PBE RbIn2C, optimized geometry" magmom_total_mub_per_fu=0.00 formation_enthalpy_0k_mev_per_atom=821.1 crystal_system=tetragonal dos_ef_per_ev_atom=0.711 pbc="T T T"
C 3.8402 3.8402 0.0000
C 3.8402 7.6805 2.0779
Rb 0.0000 0.0000 0.0000
Rb 7.6805 3.8402 2.0779
In 4.5852 1.9201 1.0389
In 3.0953 5.7604 1.0389
In 5.7604 6.9355 3.1168
In 9.6006 8.4254 3.1168


# 2
5
Lattice="-1.1732 1.0980 -5.8736 1.9528 -5.5866 -1.4344 -5.6473 -2.1599 0.7243" Properties=species:S:1:pos:R:3 comment="PBE Rb3InC, optimized geometry" magmom_total_mub_per_fu=0.95 polymorph_energy_mev_per_atom=0 formation_enthalpy_0k_mev_per_atom=1107.2 crystal_system=cubic dos_ef_per_ev_atom=2.150 pbc="T T T"
C 0.0000 0.0000 0.0000
Rb 0.9764 -2.7933 -0.7172
Rb -2.8236 -1.0799 0.3621
Rb -0.5866 0.5490 -2.9368
In -2.4339 -3.3243 -3.2919


# 3
6
Lattice="4.1488 0.0000 0.0000 0.0000 4.1488 0.0000 0.0000 0.0000 10.7395" Properties=species:S:1:pos:R:3 comment="PBE RbInC, optimized geometry" magmom_total_mub_per_fu=0.00 formation_enthalpy_0k_mev_per_atom=942.9 crystal_system=tetragonal dos_ef_per_ev_atom=0.173 pbc="T T T"
C 0.0000 2.0744 6.6108
C 2.0744 0.0000 4.1286
Rb 0.0000 2.0744 2.4001
Rb 2.0744 0.0000 8.3394
In 0.0000 0.0000 5.3697
In 2.0744 2.0744 5.3697


# 4
6
Lattice="3.3483 -4.5649 0.0000 3.3483 4.5649 0.0000 0.0000 0.0000 5.9183" Properties=species:S:1:pos:R:3 comment="PBE RbInC, optimized geometry" magmom_total_mub_per_fu=0.00 formation_enthalpy_0k_mev_per_atom=991.3 crystal_system=orthorhombic dos_ef_per_ev_atom=0.000 pbc="T T T"
C 3.3483 -2.2824 1.2663
C 3.3483 2.2824 4.6520
Rb 1.6742 0.0000 2.9591
Rb 5.0225 0.0000 2.9591
In 1.6742 2.2824 0.0000
In 1.6742 -2.2824 0.0000


# 5
6
Lattice="5.1402 -0.9170 4.7595 5.7564 -4.0785 0.3802 6.9589 1.2159 0.1015" Properties=species:S:1:pos:R:3 comment="PBE RbInC, optimized geometry" magmom_total_mub_per_fu=0.00 formation_enthalpy_0k_mev_per_atom=174.9 crystal_system=trigonal dos_ef_per_ev_atom=0.043 pbc="T T T"
C 0.5928 -0.1255 0.1740
C 17.2628 -3.6542 5.0672
Rb 6.8983 -1.4602 2.0249
Rb 10.9572 -2.3194 3.2163
In 15.0822 -3.1926 4.4271
In 2.7734 -0.5871 0.8141


# 6
6
Lattice="-3.0473 -1.6016 -1.7351 -2.2740 -2.5925 6.3683 -4.0474 5.1590 2.3531" Properties=species:S:1:pos:R:3 comment="PBE RbInC, optimized geometry" magmom_total_mub_per_fu=0.00 formation_enthalpy_0k_mev_per_atom=270.7 crystal_system=triclinic dos_ef_per_ev_atom=0.297 pbc="T T T"
C -5.5335 -2.5390 5.5777
C -4.0265 0.6348 0.0192
Rb -1.8933 -0.7993 1.8802
Rb -4.6194 0.4967 5.4516
In -5.3900 1.6256 1.5009
In -8.2155 1.6314 6.4494


# 7
6
Lattice="7.1737 0.0000 0.0000 0.0000 5.1488 0.0000 0.0000 0.0000 5.0912" Properties=species:S:1:pos:R:3 comment="PBE RbInC, optimized geometry" magmom_total_mub_per_fu=0.00 formation_enthalpy_0k_mev_per_atom=1002.4 crystal_system=orthorhombic dos_ef_per_ev_atom=0.009 pbc="T T T"
C 1.7934 2.5744 3.5896
C 5.3803 2.5744 1.5017
Rb 1.7934 0.0000 0.1941
Rb 5.3803 0.0000 4.8971
In 0.0000 2.5744 2.5456
In 3.5869 2.5744 2.5456


# 8
12
Lattice="11.0897 0.0000 0.0000 0.0000 11.0897 0.0000 5.5448 5.5448 3.1978" Properties=species:S:1:pos:R:3 comment="PBE RbInC, optimized geometry" magmom_total_mub_per_fu=0.16 formation_enthalpy_0k_mev_per_atom=933.0 crystal_system=tetragonal dos_ef_per_ev_atom=0.466 pbc="T T T"
C 3.0056 0.0000 0.0000
C 8.0841 0.0000 0.0000
C 0.0000 3.0056 0.0000
C 0.0000 8.0841 0.0000
Rb 9.1406 5.5448 0.0000
Rb 1.9490 5.5448 0.0000
Rb 5.5448 9.1406 0.0000
Rb 5.5448 1.9490 0.0000
In 9.5218 9.5218 0.0000
In 1.5679 1.5679 0.0000
In 1.5679 9.5218 0.0000
In 9.5218 1.5679 0.0000


# 9
12
Lattice="7.8437 0.0000 0.0000 0.0000 3.9429 0.0000 0.0000 0.0000 10.7495" Properties=species:S:1:pos:R:3 comment="PBE RbInC, optimized geometry" magmom_total_mub_per_fu=0.00 formation_enthalpy_0k_mev_per_atom=955.3 crystal_system=orthorhombic dos_ef_per_ev_atom=0.000 pbc="T T T"
C 2.5664 0.9857 0.8104
C 1.3554 2.9572 6.1852
C 5.2773 2.9572 9.9391
C 6.4882 0.9857 4.5644
Rb 3.9020 0.9857 7.4205
Rb 0.0198 2.9572 2.0457
Rb 3.9417 2.9572 3.3290
Rb 7.8238 0.9857 8.7038
In 5.0318 0.9857 0.1502
In 6.7337 2.9572 5.5250
In 2.8118 2.9572 10.5993
In 1.1100 0.9857 5.2245


# 10
6
Lattice="5.1997 -4.2417 0.0000 5.1997 4.2417 0.0000 0.0000 0.0000 4.6004" Properties=species:S:1:pos:R:3 comment="PBE RbInC, optimized geometry" magmom_total_mub_per_fu=0.00 formation_enthalpy_0k_mev_per_atom=377.6 crystal_system=orthorhombic dos_ef_per_ev_atom=0.445 pbc="T T T"
C 5.1997 0.0000 2.9427
C 5.1997 0.0000 1.6577
Rb 2.1024 0.0000 2.3002
Rb 8.2970 0.0000 2.3002
In 5.1997 -1.6452 0.0000
In 5.1997 1.6452 0.0000


# 11
6
Lattice="14.9223 0.0000 -0.0214 6.2982 1.9184 -3.1468 -6.2982 1.9184 3.1468" Properties=species:S:1:pos:R:3 comment="PBE RbInC, optimized geometry" magmom_total_mub_per_fu=0.08 formation_enthalpy_0k_mev_per_atom=981.3 crystal_system=monoclinic dos_ef_per_ev_atom=0.237 pbc="T T T"
C 9.8046 1.9184 0.5823
C 5.1176 1.9184 -0.6037
Rb 6.0878 1.9184 2.8253
Rb 8.8345 1.9184 -2.8466
In -0.3030 1.9184 2.5531
In 15.2253 1.9184 -2.5745


# 12
6
Lattice="9.2121 0.0000 0.0014 0.0000 5.2772 0.0000 -0.5499 0.0000 3.6040" Properties=species:S:1:pos:R:3 comment="PBE RbInC, optimized geometry" magmom_total_mub_per_fu=0.00 formation_enthalpy_0k_mev_per_atom=338.0 crystal_system=monoclinic dos_ef_per_ev_atom=0.003 pbc="T T T"
C 1.1528 2.6386 2.8046
C 2.3926 2.6386 3.0811
Rb 2.3458 0.0000 1.1944
Rb 5.2112 2.6386 1.6732
In 9.0294 2.6386 0.8305
In 7.5865 0.0000 0.2296